VASP calculation (PBE with a Hubbard U) on crystalline Pm2UMoO8 at its relaxed geometry.

```
Pm2UMoO8
1.0
3.696 -3.567 0.000
3.696 3.567 0.000
-0.101 0.000 6.924
Pm U Mo O
2 1 1 8
Direct
0.002 0.002 0.259
0.998 0.998 0.741
0.500 0.500 0.000
0.500 0.500 0.500
0.214 0.786 0.000
0.218 0.782 0.500
0.324 0.324 0.757
0.326 0.326 0.253
0.674 0.674 0.747
0.676 0.676 0.243
0.782 0.218 0.500
0.786 0.214 0.000
```

E = -0.31251 hartree per atom
Total magnetic moment = 2.00 μB per formula unit